# 1
VASP calculation (GGA-PBE) on a relaxed structure of LaIr2.

The formation energy is -0.4566 eV per atom. As for the crystal system: tetragonal. As for the space group: I4/mcm (140).

Cell: 5.9820 5.9820 5.9820 Å, 127.95 127.95 76.70°
With the nearest neighbours (Å) after each atom.
Element x y z (fractional)
Ir 0.8227 0.6773 0.5000  5 Ir 2.63-2.73
La 0.2500 0.2500 0.0000  8 Ir 3.04
Ir 0.3227 0.8227 0.1454  5 Ir 2.63-2.73
Ir 0.1773 0.3227 0.5000  5 Ir 2.63-2.73
Ir 0.6773 0.1773 0.8546  5 Ir 2.63-2.73
La 0.7500 0.7500 0.0000  8 Ir 3.04

***

# 2
VASP calculation (GGA-PBE) on a relaxed structure of AcBiAuF.

As for the crystal system: cubic. The raw formation energy is -144 kJ/mol of atoms. As for the space group: F-43m (216).

Cell: 5.1217 5.1217 5.1217 Å, 60.00 60.00 60.00°
With the nearest neighbours (Å) after each atom.
Element x y z (fractional)
Bi 0.0000 0.0000 0.0000  4 F 3.14, 4 Au 3.14
F 0.7500 0.7500 0.7500  4 Ac 3.14, 4 Bi 3.14
Au 0.2500 0.2500 0.2500  4 Ac 3.14, 4 Bi 3.14
Ac 0.5000 0.5000 0.5000  4 F 3.14, 4 Au 3.14

***

# 3
VASP calculation (GGA-PBE) on a relaxed structure of SmIn3S6.

As for the crystal system: monoclinic. The raw formation energy is -87 kJ/mol of atoms. As for the space group: P2_1/m (11).

Cell: 3.9094 11.3294 10.9609 Å, 112.03 90.00 90.00°
With the nearest neighbours (Å) after each atom.
Element x y z (fractional)
S 0.7500 0.1026 0.4637  3 Sm 2.81-2.89, 2 In 2.83
S 0.2500 0.5484 0.3962  3 In 2.56-2.57
S 0.2500 0.6039 0.9390  4 In 2.64-2.75
In 0.7500 0.7042 0.4814  6 S 2.56-2.83
Sm 0.7500 0.0530 0.7042  8 S 2.81-3.05
Sm 0.2500 0.9470 0.2958  8 S 2.81-3.05
S 0.2500 0.0723 0.9126  3 In 2.70-2.73, 2 Sm 2.95
S 0.7500 0.7422 0.2597  3 In 2.62-2.75
S 0.2500 0.8974 0.5363  3 Sm 2.81-2.89, 2 In 2.83
In 0.7500 0.4410 0.8336  6 S 2.57-2.75
S 0.2500 0.2015 0.2605  3 In 2.58-2.62
S 0.7500 0.7985 0.7395  3 In 2.58-2.62
In 0.2500 0.2958 0.5186  6 S 2.56-2.83
S 0.7500 0.9277 0.0874  3 In 2.70-2.73, 2 Sm 2.95
S 0.2500 0.2578 0.7403  3 In 2.62-2.75
S 0.7500 0.3961 0.0610  4 In 2.64-2.75
S 0.7500 0.4516 0.6038  3 In 2.56-2.57
In 0.2500 0.8309 0.9025  6 S 2.58-2.75
In 0.2500 0.5590 0.1664  6 S 2.57-2.75
In 0.7500 0.1691 0.0975  6 S 2.58-2.75

***

# 4
VASP calculation (GGA-PBE) on a relaxed structure of MnAl3Co.

The formation energy is -0.1590 eV per atom. As for the crystal system: monoclinic. The polymorph energy (0 for the lowest one) comes out at 0.0 meV per atom. As for the space group: C2/c (15).

Cell: 5.4675 7.8276 7.8276 Å, 59.86 89.96 89.96°
With the nearest neighbours (Å) after each atom.
Element x y z (fractional)
Al 0.9996 0.6673 0.6692  4 Mn 2.61-2.65, 4 Al 2.62-2.73, 2 Co 2.75-2.76
Al 0.4934 0.7141 0.0911  3 Co 2.39-2.58, 2 Mn 2.52-2.53, 3 Al 2.62-2.67
Mn 0.2487 0.0031 0.4997  8 Al 2.51-2.65, 2 Mn 2.72-2.75
Al 0.5049 0.0850 0.7163  3 Co 2.38-2.61, 2 Mn 2.51-2.52, 1 Al 2.63
Al 0.9934 0.0911 0.7141  3 Co 2.39-2.58, 2 Mn 2.52-2.53, 3 Al 2.62-2.67
Al 0.0004 0.3327 0.3308  4 Mn 2.61-2.65, 4 Al 2.62-2.73, 2 Co 2.75-2.76
Al 0.0066 0.9089 0.2859  3 Co 2.39-2.58, 2 Mn 2.52-2.53, 3 Al 2.62-2.67
Al 0.9951 0.2837 0.9150  3 Co 2.38-2.61, 2 Mn 2.51-2.52, 1 Al 2.63
Mn 0.2513 0.5003 0.9969  8 Al 2.51-2.65, 2 Mn 2.72-2.75
Mn 0.7513 0.9969 0.5003  8 Al 2.51-2.65, 2 Mn 2.72-2.75
Al 0.4951 0.9150 0.2837  3 Co 2.38-2.61, 2 Mn 2.51-2.52, 1 Al 2.63
Al 0.5004 0.3308 0.3327  4 Mn 2.61-2.65, 4 Al 2.62-2.73, 2 Co 2.75-2.76
Al 0.5066 0.2859 0.9089  3 Co 2.39-2.58, 2 Mn 2.52-2.53, 3 Al 2.62-2.67
Al 0.0049 0.7163 0.0850  3 Co 2.38-2.61, 2 Mn 2.51-2.52, 1 Al 2.63
Co 0.7500 0.9931 0.0069  8 Al 2.38-2.42
Al 0.4996 0.6692 0.6673  4 Mn 2.61-2.65, 4 Al 2.62-2.73, 2 Co 2.75-2.76
Co 0.7500 0.5922 0.4078  8 Al 2.58-2.76
Mn 0.7487 0.4997 0.0031  8 Al 2.51-2.65, 2 Mn 2.72-2.75
Co 0.2500 0.0069 0.9931  8 Al 2.38-2.42
Co 0.2500 0.4078 0.5922  8 Al 2.58-2.76

***

# 5
VASP calculation (GGA-PBE) on a relaxed structure of YSn3Rh3.

The formation energy is 0.0071 eV per atom. As for the crystal system: cubic. As for the space group: Pm-3n (223).

Cell: 7.1465 7.1465 7.1465 Å, 90.00 90.00 90.00°
With the nearest neighbours (Å) after each atom.
Element x y z (fractional)
Y 0.0000 0.0000 0.0000  12 Rh 4.00, 12 Sn 4.00
Rh 0.5000 0.7500 0.0000  4 Sn 2.53
Rh 0.5000 0.2500 0.0000  4 Sn 2.53
Sn 0.5000 0.0000 0.2500  4 Rh 2.53
Sn 0.2500 0.5000 0.0000  4 Rh 2.53
Sn 0.5000 0.0000 0.7500  4 Rh 2.53
Sn 0.0000 0.2500 0.5000  4 Rh 2.53
Rh 0.0000 0.5000 0.2500  4 Sn 2.53
Rh 0.0000 0.5000 0.7500  4 Sn 2.53
Y 0.5000 0.5000 0.5000  12 Sn 4.00, 12 Rh 4.00
Rh 0.7500 0.0000 0.5000  4 Sn 2.53
Sn 0.7500 0.5000 0.0000  4 Rh 2.53
Sn 0.0000 0.7500 0.5000  4 Rh 2.53
Rh 0.2500 0.0000 0.5000  4 Sn 2.53

***

# 6
VASP calculation (GGA-PBE) on a relaxed structure of GdZrGaCu.

The formation energy is -0.2911 eV per atom. As for the crystal system: cubic. As for the space group: F-43m (216).

Cell: 4.8722 4.8722 4.8722 Å, 60.00 60.00 60.00°
With the nearest neighbours (Å) after each atom.
Element x y z (fractional)
Gd 0.5000 0.5000 0.5000  4 Cu 2.98, 4 Ga 2.98
Ga 0.2500 0.2500 0.2500  4 Gd 2.98, 4 Zr 2.98
Cu 0.7500 0.7500 0.7500  4 Zr 2.98, 4 Gd 2.98
Zr 0.0000 0.0000 0.0000  4 Ga 2.98, 4 Cu 2.98

***

# 7
VASP calculation (GGA-PBE) on a relaxed structure of InFeCu2.

The formation energy is 0.2008 eV per atom. As for the crystal system: tetragonal. As for the space group: P4/mmm (123).

Cell: 3.0590 3.0590 6.2475 Å, 90.00 90.00 90.02°
With the nearest neighbours (Å) after each atom.
Element x y z (fractional)
Cu 0.0000 0.0000 0.0350  4 Fe 2.55, 1 Cu 2.69, 4 In 2.80
In 0.5000 0.5000 0.7500  8 Cu 2.80, 4 In 3.06, 2 Fe 3.12
Fe 0.5000 0.5000 0.2500  8 Cu 2.55
Cu 0.0000 0.0000 0.4650  4 Fe 2.55, 1 Cu 2.69, 4 In 2.80

***

# 8
VASP calculation (GGA-PBE) on a relaxed structure of PrYTm6.

The formation energy is 0.1275 eV per atom. As for the crystal system: orthorhombic. The polymorph energy (0 for the lowest one) comes out at 96.4 meV per atom. As for the space group: Cmmm (65).

Cell: 5.7839 6.9019 6.9019 Å, 114.47 90.00 90.00°
With the nearest neighbours (Å) after each atom.
Element x y z (fractional)
Tm 0.0000 0.2402 0.2402  2 Y 3.40, 5 Tm 3.45-3.59, 2 Pr 3.48
Pr 0.5000 0.5000 0.5000  8 Tm 3.45-3.48, 2 Y 3.74
Tm 0.0000 0.7598 0.7598  2 Y 3.40, 5 Tm 3.45-3.59, 2 Pr 3.48
Tm 0.0000 0.7457 0.2543  10 Tm 3.44-3.74
Tm 0.5000 0.0000 0.5000  6 Tm 3.44-3.74, 2 Y 3.45, 2 Pr 3.45
Tm 0.5000 0.5000 0.0000  6 Tm 3.44-3.74, 2 Pr 3.45, 2 Y 3.45
Tm 0.0000 0.2543 0.7457  10 Tm 3.44-3.74
Y 0.5000 0.0000 0.0000  8 Tm 3.40-3.45, 2 Pr 3.74

***

# 9
VASP calculation (GGA-PBE) on a relaxed structure of Nd4Er3Tl5.

The formation energy is -0.1544 eV per atom. As for the crystal system: monoclinic. As for the space group: C2/m (12).

Cell: 5.8101 8.3559 8.9671 Å, 99.98 71.10 69.66°
With the nearest neighbours (Å) after each atom.
Element x y z (fractional)
Nd 0.1675 0.7638 0.9012  4 Tl 3.25-3.37, 1 Er 3.43, 2 Nd 3.51-3.54
Tl 0.3491 0.0921 0.2097  2 Er 3.10-3.35, 4 Nd 3.36-3.45, 1 Tl 3.38
Er 0.5451 0.6977 0.2121  5 Tl 3.10-3.29, 1 Nd 3.43
Tl 0.5000 0.5000 0.5000  2 Er 2.91
Nd 0.8113 0.9944 0.3829  5 Tl 3.45-3.76, 3 Er 3.50-3.71, 3 Nd 3.50-3.51
Nd 0.8325 0.2362 0.0988  4 Tl 3.25-3.37, 1 Er 3.43, 2 Nd 3.51-3.54
Er 0.0000 0.5000 0.5000  4 Tl 2.91-2.97
Tl 0.8499 0.4623 0.8379  4 Er 2.97-3.14, 1 Nd 3.25
Tl 0.1501 0.5377 0.1621  4 Er 2.97-3.14, 1 Nd 3.25
Er 0.4549 0.3023 0.7879  5 Tl 3.10-3.29, 1 Nd 3.43
Tl 0.6509 0.9079 0.7903  2 Er 3.10-3.35, 4 Nd 3.36-3.45, 1 Tl 3.38
Nd 0.1887 0.0056 0.6171  5 Tl 3.45-3.76, 3 Er 3.50-3.71, 3 Nd 3.50-3.51

***

# 10
VASP calculation (GGA-PBE) on a relaxed structure of Mg8InAg2.

The formation energy is -0.0665 eV per atom. As for the crystal system: monoclinic. The polymorph energy (0 for the lowest one) comes out at 26.4 meV per atom. As for the space group: C2/m (12).

Cell: 5.1519 7.6317 7.6317 Å, 117.47 101.48 101.48°
With the nearest neighbours (Å) after each atom.
Element x y z (fractional)
Mg 0.1061 0.3247 0.0877  2 Ag 2.78-2.86, 2 Mg 3.02-3.09
Mg 0.1061 0.0877 0.3247  2 Ag 2.78-2.86, 2 Mg 3.02-3.09
In 0.5000 0.0000 0.0000  4 Mg 2.93-2.97
Mg 0.8939 0.9123 0.6753  2 Ag 2.78-2.86, 2 Mg 3.02-3.09
Mg 0.3042 0.6012 0.6012  4 Mg 2.92-3.22, 1 In 2.93, 2 Ag 2.94
Ag 0.0000 0.6958 0.3042  8 Mg 2.76-2.94
Mg 0.5000 0.2278 0.7722  2 Ag 2.76, 1 In 2.97
Mg 0.6958 0.3988 0.3988  4 Mg 2.92-3.22, 1 In 2.93, 2 Ag 2.94
Ag 0.0000 0.3042 0.6958  8 Mg 2.76-2.94
Mg 0.5000 0.7722 0.2278  2 Ag 2.76, 1 In 2.97
Mg 0.8939 0.6753 0.9123  2 Ag 2.78-2.86, 2 Mg 3.02-3.09

***

# 11
VASP calculation (GGA-PBE) on a relaxed structure of TiMn.

The formation energy is 0.5544 eV per atom. As for the crystal system: cubic. As for the space group: Fm-3m (225).

Cell: 4.9705 4.9705 4.9705 Å, 90.00 90.00 90.00°
With the nearest neighbours (Å) after each atom.
Element x y z (fractional)
Mn 0.0000 0.0000 0.5000  6 Ti 2.49
Ti 0.0000 0.5000 0.5000  6 Mn 2.49
Ti 0.5000 0.5000 0.0000  6 Mn 2.49
Ti 0.0000 0.0000 0.0000  6 Mn 2.49
Mn 0.5000 0.5000 0.5000  6 Ti 2.49
Mn 0.0000 0.5000 0.0000  6 Ti 2.49
Mn 0.5000 0.0000 0.0000  6 Ti 2.49
Ti 0.5000 0.0000 0.5000  6 Mn 2.49

***

# 12
VASP calculation (GGA-PBE) on a relaxed structure of Ba3Al2In3.

The formation energy is -0.3600 eV per atom. As for the crystal system: orthorhombic. As for the space group: Cmcm (63).

Cell: 5.0724 6.6724 16.9789 Å, 90.00 90.00 112.34°
With the nearest neighbours (Å) after each atom.
Element x y z (fractional)
In 0.3717 0.7434 0.9665  3 Al 2.94-3.00
Al 0.2096 0.4193 0.0980  4 In 2.93-3.00
Al 0.7904 0.5807 0.5980  4 In 2.93-3.00
In 0.6283 0.2566 0.4665  3 Al 2.94-3.00
In 0.3717 0.7434 0.5335  3 Al 2.94-3.00
Ba 0.6208 0.2416 0.2500  5 In 3.55-3.68, 4 Al 3.78
Ba 0.0870 0.1739 0.6078  7 In 3.53-3.88, 4 Al 3.57-3.81
Ba 0.9130 0.8261 0.1078  7 In 3.53-3.88, 4 Al 3.57-3.81
In 0.6283 0.2566 0.0335  3 Al 2.94-3.00
Ba 0.0870 0.1739 0.8922  7 In 3.53-3.88, 4 Al 3.57-3.81
Ba 0.3792 0.7584 0.7500  5 In 3.55-3.68, 4 Al 3.78
Al 0.7904 0.5807 0.9020  4 In 2.93-3.00
Ba 0.9130 0.8261 0.3922  7 In 3.53-3.88, 4 Al 3.57-3.81
In 0.3223 0.6447 0.2500  2 Al 2.93
Al 0.2096 0.4193 0.4020  4 In 2.93-3.00
In 0.6777 0.3553 0.7500  2 Al 2.93

***

| no. | electronic total energy (eV/cell) | V (Å³/atom) |
| --- | --- | --- |
| 1 | -48.0 | 21.544 |
| 2 | -19.1 | 23.751 |
| 3 | -93.4 | 22.502 |
| 4 | -113.2 | 14.485 |
| 5 | -81.0 | 26.071 |
| 6 | -30.9 | 20.446 |
| 7 | -18.6 | 14.615 |
| 8 | -37.1 | 31.347 |
| 9 | -46.4 | 30.464 |
| 10 | -21.9 | 22.352 |
| 11 | -63.8 | 15.350 |
| 12 | -48.7 | 33.220 |